A relaxed structure of TbMoC, computed with PBE-GGA.

Output
Energy above the lowest structure with this stoichiometry (meV/atom): 0

Lattice parameters (Å, degrees): 3.360 5.794 6.114 113.33 105.95 90.00
Positions (direct):
Mo  0.659  0.838  0.318
Mo  0.341  0.162  0.682
Tb  0.114  0.313  0.227
Tb  0.886  0.687  0.773
C  0.754  0.233  0.509
C  0.246  0.767  0.491

***

A relaxed structure of Tb3Mo2C4, computed with PBE-GGA.

Lattice parameters (Å, degrees): 3.239 5.750 7.611 101.84 90.00 106.36
Positions (direct):
C  0.667  0.334  0.098
C  0.333  0.666  0.902
C  0.072  0.144  0.703
C  0.928  0.856  0.297
Mo  0.697  0.395  0.836
Mo  0.303  0.605  0.164
Tb  0.599  0.198  0.388
Tb  0.401  0.802  0.612
Tb  0.000  0.000  0.000

***

A relaxed structure of TbMoC, computed with PBE-GGA.

Output
Energy above the lowest structure with this stoichiometry (meV/atom): 172

Lattice parameters (Å, degrees): 3.255 3.255 5.345 90.00 90.00 120.00
Positions (direct):
C  0.333  0.667  0.630
Mo  0.667  0.333  0.441
Tb  0.000  0.000  0.929

***

A relaxed structure of Tb2ThMoC4, computed with PBE-GGA.

Lattice parameters (Å, degrees): 3.539 6.347 12.333 90.00 90.00 106.19
Positions (direct):
Mo  0.836  0.671  0.750
Mo  0.164  0.329  0.250
Tb  0.369  0.739  0.960
Tb  0.369  0.739  0.540
Tb  0.631  0.261  0.040
Tb  0.631  0.261  0.460
C  0.569  0.138  0.250
C  0.734  0.468  0.869
C  0.734  0.468  0.631
C  0.431  0.862  0.750
C  0.000  0.000  0.000
C  0.000  0.000  0.500
C  0.266  0.532  0.131
C  0.266  0.532  0.369
Th  0.901  0.802  0.250
Th  0.099  0.198  0.750

***

A relaxed structure of TbTh2MoC4, computed with PBE-GGA.

Lattice parameters (Å, degrees): 3.614 6.345 12.904 90.00 90.00 106.55
Positions (direct):
Th  0.367  0.734  0.961
Th  0.633  0.266  0.461
Th  0.367  0.734  0.539
Th  0.633  0.266  0.039
C  0.424  0.849  0.750
C  0.733  0.465  0.635
C  0.000  0.000  0.000
C  0.267  0.535  0.135
C  0.000  0.000  0.500
C  0.733  0.465  0.865
C  0.576  0.151  0.250
C  0.267  0.535  0.365
Mo  0.836  0.672  0.750
Mo  0.164  0.328  0.250
Tb  0.892  0.784  0.250
Tb  0.108  0.216  0.750

***

A relaxed structure of TbU2MoC4, computed with PBE-GGA.

Lattice parameters (Å, degrees): 3.613 6.102 11.369 90.00 90.00 107.22
Positions (direct):
C  0.256  0.512  0.382
C  0.000  0.000  0.500
C  0.543  0.086  0.250
C  0.457  0.914  0.750
C  0.744  0.488  0.882
C  0.744  0.488  0.618
C  0.256  0.512  0.118
C  0.000  0.000  0.000
Tb  0.130  0.261  0.750
Tb  0.870  0.739  0.250
U  0.627  0.254  0.044
U  0.373  0.746  0.544
U  0.627  0.254  0.456
U  0.373  0.746  0.956
Mo  0.868  0.735  0.750
Mo  0.132  0.265  0.250

***

A relaxed structure of Tc3Mo3C, computed with PBE-GGA.

Lattice parameters (Å, degrees): 8.227 8.227 8.227 60.00 60.00 60.00
Positions (direct):
C  0.125  0.125  0.125
C  0.125  0.125  0.625
C  0.625  0.125  0.125
C  0.125  0.625  0.125
Mo  0.188  0.812  0.188
Mo  0.188  0.812  0.812
Mo  0.438  0.438  0.062
Mo  0.062  0.438  0.062
Mo  0.812  0.188  0.812
Mo  0.188  0.188  0.812
Mo  0.812  0.812  0.188
Mo  0.438  0.062  0.438
Mo  0.438  0.062  0.062
Mo  0.062  0.062  0.438
Mo  0.062  0.438  0.438
Mo  0.812  0.188  0.188
Tc  0.836  0.836  0.836
Tc  0.758  0.414  0.414
Tc  0.625  0.125  0.625
Tc  0.625  0.625  0.625
Tc  0.414  0.758  0.414
Tc  0.625  0.625  0.125
Tc  0.414  0.414  0.758
Tc  0.836  0.492  0.836
Tc  0.492  0.836  0.836
Tc  0.414  0.414  0.414
Tc  0.836  0.836  0.492
Tc  0.125  0.625  0.625

***

A relaxed structure of Tc2MoC, computed with PBE-GGA.

Lattice parameters (Å, degrees): 6.911 6.911 5.381 50.04 50.04 90.00
Positions (direct):
C  0.500  0.500  0.000
C  0.250  0.750  0.500
Tc  0.875  0.765  0.750
Tc  0.515  0.125  0.250
Tc  0.235  0.625  0.250
Tc  0.375  0.485  0.750
Mo  0.000  0.000  0.000
Mo  0.750  0.250  0.500

***

A relaxed structure of TcMoC3, computed with PBE-GGA.

Output
Energy above the lowest structure with this stoichiometry (meV/atom): 159

Lattice parameters (Å, degrees): 3.985 3.985 3.985 90.00 90.00 90.00
Positions (direct):
C  0.500  0.000  0.000
C  0.000  0.500  0.000
C  0.000  0.000  0.500
Mo  0.000  0.000  0.000
Tc  0.500  0.500  0.500

***

A relaxed structure of TcMoC3, computed with PBE-GGA.

Output
Energy above the lowest structure with this stoichiometry (meV/atom): 0

Lattice parameters (Å, degrees): 3.922 3.922 3.922 90.00 90.00 90.00
Positions (direct):
C  0.000  0.500  0.000
C  0.500  0.000  0.000
C  0.000  0.000  0.500
Tc  0.000  0.000  0.000
Mo  0.500  0.500  0.500

***

A relaxed structure of Tc2MoC, computed with PBE-GGA.

Lattice parameters (Å, degrees): 2.863 4.781 7.631 90.00 90.00 107.42
Positions (direct):
Mo  0.910  0.821  0.250
Mo  0.090  0.179  0.750
Tc  0.366  0.731  0.574
Tc  0.634  0.269  0.426
Tc  0.366  0.731  0.926
Tc  0.634  0.269  0.074
C  0.229  0.459  0.250
C  0.771  0.541  0.750

***

A relaxed structure of Tc2MoC, computed with PBE-GGA.

Lattice parameters (Å, degrees): 2.878 2.878 7.378 78.75 78.75 60.00
Positions (direct):
Mo  0.500  0.500  0.500
Tc  0.726  0.726  0.821
Tc  0.274  0.274  0.179
C  0.000  0.000  0.000

***

Table of total magnetization (μB/cell), in record order: 0.0 0.0 0.6 0.0 0.0 0.0 0.0 0.0 0.0 0.0 0.0 0.0
Table of calculated formation energy (eV per atom), in record order: -0.157 -0.136 0.015 -0.070 -0.015 -0.008 0.063 0.298 2.335 2.177 0.035 0.242